No. 1
EuFe2As2 after structural relaxation. Source: Alexandria, functional PBE.

## Properties
Crystal system: tetragonal
Symmetry: I4/mmm, No. 139
Formation energy from the elements (eV/f.u.): -2.92
Size of the total moment (μB per atom): 1.37

a b c (Å): 3.9736 3.9739 6.1160
angles (deg): 108.95 108.95 90.01
With the nearest neighbours (Å) after each atom.
Fractional positions:
Fe: 0.2500 0.7500 0.5000  4 As 2.31
Fe: 0.7500 0.2500 0.5000  4 As 2.31
As: 0.6412 0.6412 0.2825  4 Fe 2.31
As: 0.3588 0.3588 0.7175  4 Fe 2.31
Eu: 0.0000 0.0000 0.0000  8 As 3.20, 8 Fe 3.37



No. 2
EuGaAs2 after structural relaxation. Source: Alexandria, functional PBE.

## Properties
Crystal system: tetragonal
Symmetry: P4/mmm, No. 123
Formation energy from the elements (eV/f.u.): -2.07
Distance to the lowest polymorph of the same formula (kcal/mol of atoms): 0.00
Size of the total moment (μB per atom): 1.69

a b c (Å): 4.2795 4.4827 4.4827
angles (deg): 90.00 90.00 90.00
With the nearest neighbours (Å) after each atom.
Fractional positions:
Ga: 0.5000 0.5000 0.5000  8 As 3.10, 4 Eu 3.17
As: 0.0000 0.5000 0.0000  4 Eu 3.10, 4 Ga 3.10, 4 As 3.17
As: 0.0000 0.0000 0.5000  4 Ga 3.10, 4 Eu 3.10, 4 As 3.17
Eu: 0.5000 0.0000 0.0000  8 As 3.10, 4 Ga 3.17



No. 3
EuGa2As after structural relaxation. Source: Alexandria, functional PBE.

## Properties
Crystal system: tetragonal
Symmetry: P4/mmm, No. 123
Formation energy from the elements (eV/f.u.): -2.04
Size of the total moment (μB per atom): 1.70

a b c (Å): 4.6938 4.2768 4.2768
angles (deg): 90.00 90.00 90.00
With the nearest neighbours (Å) after each atom.
Fractional positions:
Ga: 0.0000 0.0000 0.5000  4 Ga 3.02, 4 Eu 3.18, 4 As 3.18
Ga: 0.0000 0.5000 0.0000  4 Ga 3.02, 4 Eu 3.18, 4 As 3.18
Eu: 0.5000 0.0000 0.0000  4 As 3.02, 8 Ga 3.18
As: 0.5000 0.5000 0.5000  4 Eu 3.02, 8 Ga 3.18



No. 4
EuGaAs2 after structural relaxation. Source: Alexandria, functional PBE.

## Properties
Crystal system: trigonal
Symmetry: R-3m, No. 166
Formation energy from the elements (eV/f.u.): -1.74
Distance to the lowest polymorph of the same formula (kcal/mol of atoms): 1.90
Size of the total moment (μB per atom): 1.64

a b c (Å): 4.0578 4.0578 7.0448
angles (deg): 73.26 73.26 60.00
With the nearest neighbours (Å) after each atom.
Fractional positions:
Ga: 0.0000 0.0000 0.0000  6 As 2.73
As: 0.7371 0.7371 0.7888  3 Ga 2.73, 3 Eu 3.03
As: 0.2629 0.2629 0.2112  3 Ga 2.73, 3 Eu 3.03
Eu: 0.5000 0.5000 0.5000  6 As 3.03



No. 5
EuGdAsPd after structural relaxation. Source: Alexandria, functional PBE.

## Properties
Crystal system: cubic
Symmetry: F-43m, No. 216
Formation energy from the elements (eV/f.u.): -3.68
Size of the total moment (μB per atom): 0.02

a b c (Å): 5.1163 5.1163 5.1163
angles (deg): 60.00 60.00 60.00
With the nearest neighbours (Å) after each atom.
Fractional positions:
Pd: 0.5000 0.5000 0.5000  4 Gd 3.13, 4 Eu 3.13
Eu: 0.7500 0.7500 0.7500  4 As 3.13, 4 Pd 3.13
As: 0.0000 0.0000 0.0000  4 Eu 3.13, 4 Gd 3.13
Gd: 0.2500 0.2500 0.2500  4 As 3.13, 4 Pd 3.13



No. 6
Eu2GeAs after structural relaxation. Source: Alexandria, functional PBE.

## Properties
Crystal system: tetragonal
Symmetry: P4/mmm, No. 123
Formation energy from the elements (eV/f.u.): -2.96
Size of the total moment (μB per atom): 3.45

a b c (Å): 4.0769 4.9848 4.9848
angles (deg): 90.00 90.00 90.00
With the nearest neighbours (Å) after each atom.
Fractional positions:
As: 0.5000 0.5000 0.5000  8 Eu 3.22, 4 Ge 3.52
Eu: 0.0000 0.5000 0.0000  4 As 3.22, 4 Ge 3.22, 4 Eu 3.52
Eu: 0.0000 0.0000 0.5000  4 Ge 3.22, 4 As 3.22, 4 Eu 3.52
Ge: 0.5000 0.0000 0.0000  8 Eu 3.22, 4 As 3.52



Look up the size of the total moment of the first one.
1.37 μB per atom



Please write out number 1 again, unchanged.
EuFe2As2 after structural relaxation. Source: Alexandria, functional PBE.

## Properties
Crystal system: tetragonal
Symmetry: I4/mmm, No. 139
Formation energy from the elements (eV/f.u.): -2.92
Size of the total moment (μB per atom): 1.37

a b c (Å): 3.9736 3.9739 6.1160
angles (deg): 108.95 108.95 90.01
With the nearest neighbours (Å) after each atom.
Fractional positions:
Fe: 0.2500 0.7500 0.5000  4 As 2.31
Fe: 0.7500 0.2500 0.5000  4 As 2.31
As: 0.6412 0.6412 0.2825  4 Fe 2.31
As: 0.3588 0.3588 0.7175  4 Fe 2.31
Eu: 0.0000 0.0000 0.0000  8 As 3.20, 8 Fe 3.37



Number 2 is which compound?
EuGaAs2



Among the records above, which one has the highest size of the total moment?
Eu2GeAs